No. 1
Compound: Hg3SBr
Source: Alexandria via LeMat-Bulk
Functional: PBE-GGA
Structure: relaxed

```
Hg3SBr
1.0
5.649 0.000 0.000
0.000 5.649 0.000
0.000 0.000 5.649
Hg S Br
3 1 1
direct
0.000 0.000 0.500
0.000 0.500 0.000
0.500 0.000 0.000
0.500 0.500 0.500
0.000 0.000 0.000
```

Properties
The total magnetic moment is 0.001 μB per formula unit. For the energy above the most stable polymorph in this dataset, the calculation gives 618.7 meV per atom. Its uncorrected energy is -0.706 eV per atom.

No. 2
Compound: Cd2Ag9Au
Source: Alexandria via LeMat-Bulk
Functional: PBE-GGA
Structure: relaxed

```
Cd2Ag9Au
1.0
4.195 0.000 0.000
0.000 4.195 0.000
0.000 0.000 12.486
Cd Ag Au
2 9 1
direct
0.000 0.000 0.169
0.000 0.000 0.831
0.000 0.500 0.000
0.000 0.500 0.336
0.000 0.500 0.664
0.500 0.000 0.000
0.500 0.000 0.336
0.500 0.000 0.664
0.500 0.500 0.169
0.500 0.500 0.500
0.500 0.500 0.831
0.000 0.000 0.500
```

Properties
The total magnetic moment is 0.000 μB per formula unit. Its uncorrected energy is -2.598 eV per atom.

No. 3
Compound: YMn2Al
Source: Alexandria via LeMat-Bulk
Functional: PBE-GGA
Structure: relaxed

```
YMn2Al
1.0
0.000 3.342 3.342
3.342 0.000 3.342
3.342 3.342 0.000
Y Mn Al
1 2 1
direct
0.000 0.000 0.000
0.250 0.250 0.250
0.500 0.500 0.500
0.750 0.750 0.750
```

Properties
The total magnetic moment is 7.341 μB per formula unit. Its uncorrected energy is -6.978 eV per atom.

- Which formula does entry 1 have?
  Hg3SBr